DFT (PBE) results for Tl4ReHg after structural relaxation.

The value obtained for the formation energy is 620 kJ/mol of formula units. The magnetic moment comes out at 3.7 μB per formula unit. The mass density is 11.425 g/cm3.

```
6
Lattice="0.0000 4.4399 4.4399 4.4399 0.0000 4.4399 4.4399 4.4399 0.0000" Properties=species:S:1:pos:R:3 pbc="T T T"
Tl 1.1135 1.1135 1.1135
Tl 3.3264 3.3264 1.1135
Tl 3.3264 1.1135 3.3264
Tl 1.1135 3.3264 3.3264
Re 4.4399 4.4399 4.4399
Hg 6.6599 6.6599 6.6599
```